Density functional theory data (PBE with a Hubbard U) for KFeIO2 after structural relaxation.

E (eV/cell): -20.8
Energy above the lowest structure with this stoichiometry (eV/atom): 0.0000
Volume (Å³ per cell): 101.7
Magnetization (μB per cell): 4.4

a = 4.182 Å, b = 4.182 Å, c = 5.814 Å
α = 90.00°, β = 90.00°, γ = 90.00°
Element x y z (fractional)
1 I 0.000 0.000 0.500
2 K 0.500 0.500 0.500
3 Fe 0.000 0.000 0.000
4 O 0.000 0.500 0.000
5 O 0.500 0.000 0.000